DFT (GGA-PBE) results for a geometry-optimized AlSnP structure.

```
AlSnP
1.0
-2.010 2.527 1.882
-5.278 -2.652 1.572
3.014 0.434 6.612
Al Sn P
2 2 2
direct
0.905 0.810 0.388 Al
0.095 0.190 0.612 Al
0.249 0.363 0.125 Sn
0.751 0.637 0.875 Sn
0.387 0.981 0.262 P
0.613 0.019 0.738 P
```

Results
Density   4.0 g/cm³
Energy relative to the lowest polymorph listed for this composition   0.071 eV/atom
VASP energy   -26.39 eV/cell
Energy of formation from the pure elements   -13 meV/atom

***

DFT (GGA-PBE) results for a geometry-optimized AlSnP3 structure.

```
AlSnP3
1.0
4.703 0.000 0.000
0.000 4.703 0.000
0.000 0.000 4.703
P Sn Al
3 1 1
direct
0.000 0.500 0.000 P
0.500 0.000 0.000 P
0.000 0.000 0.500 P
0.500 0.500 0.500 Sn
0.000 0.000 0.000 Al
```

Results
Density   3.8 g/cm³
Energy relative to the lowest polymorph listed for this composition   0.000 eV/atom
VASP energy   -21.32 eV/cell
Energy of formation from the pure elements   531 meV/atom

***

DFT (GGA-PBE) results for a geometry-optimized AlZn2SnP structure.

```
AlZn2SnP
1.0
4.703 0.000 0.000
0.000 5.443 0.000
0.000 0.000 4.703
P Zn Sn Al
1 2 1 1
direct
0.500 0.500 0.500 P
0.000 0.000 0.500 Zn
0.500 0.000 0.000 Zn
0.000 0.500 0.000 Sn
0.000 0.000 0.000 Al
```

Results
Density   4.2 g/cm³
VASP energy   -12.29 eV/cell
Energy of formation from the pure elements   683 meV/atom

***

DFT (GGA-PBE) results for a geometry-optimized ZrAl2SnP structure.

```
ZrAl2SnP
1.0
-0.523 4.600 -0.481
-4.968 -0.579 -0.139
-0.184 0.464 4.627
P Sn Al Zr
1 1 2 1
direct
0.000 0.000 0.000 P
0.500 0.500 0.500 Sn
0.500 0.000 0.000 Al
0.000 0.000 0.500 Al
0.000 0.500 0.000 Zr
```

Results
Density   4.5 g/cm³
VASP energy   -25.25 eV/cell
Energy of formation from the pure elements   39 meV/atom

***

DFT (GGA-PBE) results for a geometry-optimized SrAl2P structure.

```
SrAl2P
1.0
3.562 0.000 0.000
0.000 3.562 0.000
0.000 0.000 6.735
Al P Sr
2 1 1
direct
0.000 0.000 0.067 Al
0.500 0.500 0.269 Al
0.000 0.000 0.425 P
0.500 0.500 0.740 Sr
```

Results
Density   3.4 g/cm³
VASP energy   -15.78 eV/cell
Energy of formation from the pure elements   -302 meV/atom

***

DFT (GGA-PBE) results for a geometry-optimized SrAl2P structure.

```
SrAl2P
1.0
-2.226 -0.323 3.772
3.358 -3.269 1.702
3.228 2.580 2.126
Al Sr P
2 1 1
direct
0.000 0.404 0.446 Al
0.000 0.096 0.054 Al
0.500 0.750 0.750 Sr
0.500 0.250 0.250 P
```

Results
Density   2.9 g/cm³
VASP energy   -15.67 eV/cell
Energy of formation from the pure elements   -273 meV/atom

***

- Look up the density of the fifth one.
  3.4 g/cm³